The following is a DFT calculation (PBE-GGA) of AcSi4Ir2 after structural relaxation.

DOS(E_F) = 0.252 states/eV per atom
ρ = 9.8 Mg/m³
Spin magnetization = 0.000 Bohr magnetons per cell
ΔE_f (raw) = -631.8 meV per atom

Lattice parameters (Å, degrees): 17.3124 4.2839 6.5879 90.00 90.00 90.00
Last column: nearest neighbours and their distance in Å.
Space group Pnma (No. 62)
Symmetry-distinct sites (fractional):
Ac: 0.1407 0.2500 0.0139  9 Si 3.01-3.33, 2 Ir 3.37
Si: 0.0280 0.7500 0.1480  3 Ir 2.50-2.69, 1 Si 2.64
Si: 0.0650 0.2500 0.5339  4 Ir 2.48-2.60, 1 Si 2.64
Si: 0.1782 0.7500 0.6848  3 Ir 2.53-2.55, 1 Si 2.57
Si: 0.1968 0.7500 0.2982  3 Ir 2.52-2.56, 1 Si 2.57
Ir: 0.0327 0.7500 0.7405  7 Si 2.48-2.69
Ir: 0.2089 0.2500 0.4984  6 Si 2.50-2.56

The following is a DFT calculation (PBE-GGA) of Ca2Ag2SbPd5 after structural relaxation.

DOS(E_F) = 0.289 states/eV per atom
ρ = 8.1 Mg/m³
Spin magnetization = 0.000 Bohr magnetons per cell
ΔE_f (raw) = -481.0 meV per atom

Lattice parameters (Å, degrees): 9.9164 9.9164 3.9499 90.00 90.00 90.00
Last column: nearest neighbours and their distance in Å.
Space group P4/mbm (No. 127)
Symmetry-distinct sites (fractional):
Ca: 0.1691 0.3309 0.0000  3 Ag 2.81-3.00, 2 Pd 3.09
Ag: 0.1305 0.6305 0.0000  6 Pd 2.69-2.71, 3 Ca 2.81-3.00
Sb: 0.0000 0.0000 0.0000  8 Pd 2.84
Pd: 0.0000 0.5000 0.5000  4 Ag 2.69
Pd: 0.0586 0.8027 0.5000  2 Ag 2.71, 2 Sb 2.84, 2 Pd 2.89

The following is a DFT calculation (PBE-GGA) of LaDy2Au3 after structural relaxation.

DOS(E_F) = 0.506 states/eV per atom
ρ = 11.9 Mg/m³
Spin magnetization = 0.002 Bohr magnetons per cell
Formation enthalpy at 0 K = -0.8372 eV/atom

Lattice parameters (Å, degrees): 3.6259 3.6259 11.1490 90.00 90.00 90.00
Last column: nearest neighbours and their distance in Å.
Space group P4/mmm (No. 123)
Symmetry-distinct sites (fractional):
La: 0.0000 0.0000 0.0000  8 Au 3.31, 4 La 3.63
Dy: 0.0000 0.0000 0.3387  8 Au 3.07-3.13
Au: 0.5000 0.5000 0.1878  4 Dy 3.07, 4 La 3.31
Au: 0.5000 0.5000 0.5000  8 Dy 3.13, 2 Au 3.48

The following is a DFT calculation (PBE-GGA) of Li3PmGa3 after structural relaxation.

E above lowest polymorph = 450.7 meV per atom
DOS(E_F) = 0.437 states/eV per atom
ρ = 4.2 Mg/m³
Spin magnetization = 0.000 Bohr magnetons per cell
Formation enthalpy at 0 K = 0.1104 eV/atom

Lattice parameters (Å, degrees): 6.6663 6.6663 6.6663 90.00 90.00 90.00
Last column: nearest neighbours and their distance in Å.
Space group Pm-3n (No. 223)
Symmetry-distinct sites (fractional):
Li: 0.0000 0.2500 0.5000  4 Ga 2.36
Pm: 0.0000 0.0000 0.0000  12 Li 3.73, 12 Ga 3.73
Ga: 0.0000 0.5000 0.2500  4 Li 2.36